Record 1
# NbZn2PO | Alexandria via LeMat-Bulk | PBE-GGA | relaxed
data_NbZn2PO
_space_group_name_H-M_alt 'P 4/m m m'
_space_group_IT_number 123
_space_group_name_Hall '-P 4 2'
_cell_length_a 4.9870
_cell_length_b 4.9870
_cell_length_c 3.2947
_cell_angle_alpha 90.00
_cell_angle_beta 90.00
_cell_angle_gamma 90.00
loop_
_atom_site_label
_atom_site_fract_x
_atom_site_fract_y
_atom_site_fract_z
_atom_site_occupancy
Nb1 0.0000 0.0000 0.0000 1
Zn1 0.0000 0.5000 0.5000 1
P1 0.5000 0.5000 0.5000 1
O1 0.5000 0.5000 0.0000 1
# **Density of states at the Fermi level**: 3.98 states/eV per cell
# **Electronic total energy**: -4.206 eV per atom

***

Record 2
# NbZnP2O | Alexandria via LeMat-Bulk | PBE-GGA | relaxed
data_NbZnP2O
_space_group_name_H-M_alt 'P 4/m m m'
_space_group_IT_number 123
_space_group_name_Hall '-P 4 2'
_cell_length_a 4.9605
_cell_length_b 4.9605
_cell_length_c 3.8793
_cell_angle_alpha 90.00
_cell_angle_beta 90.00
_cell_angle_gamma 90.00
loop_
_atom_site_label
_atom_site_fract_x
_atom_site_fract_y
_atom_site_fract_z
_atom_site_occupancy
Nb1 0.0000 0.0000 0.0000 1
Zn1 0.5000 0.5000 0.5000 1
P1 0.0000 0.5000 0.0000 1
O1 0.0000 0.0000 0.5000 1
# **Density of states at the Fermi level**: 3.51 states/eV per cell
# **Electronic total energy**: -5.702 eV per atom
# **ΔE to the lowest computed polymorph**: 0.0000 eV/atom

***

Record 3
# NbZnP2O | Alexandria via LeMat-Bulk | PBE-GGA | relaxed
data_NbZnP2O
_space_group_name_H-M_alt 'P 4/m m m'
_space_group_IT_number 123
_space_group_name_Hall '-P 4 2'
_cell_length_a 4.7040
_cell_length_b 4.7040
_cell_length_c 3.5594
_cell_angle_alpha 90.00
_cell_angle_beta 90.00
_cell_angle_gamma 90.00
loop_
_atom_site_label
_atom_site_fract_x
_atom_site_fract_y
_atom_site_fract_z
_atom_site_occupancy
Nb1 0.0000 0.0000 0.0000 1
Zn1 0.5000 0.5000 0.5000 1
P1 0.0000 0.5000 0.5000 1
O1 0.5000 0.5000 0.0000 1
# **Density of states at the Fermi level**: 3.53 states/eV per cell
# **Electronic total energy**: -4.976 eV per atom
# **ΔE to the lowest computed polymorph**: 0.7256 eV/atom

***

no.,ΔE_f (raw) (meV per atom)
1,391
2,-277
3,448